Below is a relaxed structure of Er3Sc4Sn4, with properties calculated at the PBE level.

Lattice parameters (Å, degrees): 4.1486 8.8567 9.2862 118.48 102.91 90.00
Closest atoms and distances in Å follow each position.
Sites, in units of the cell vectors:
1 Er 0.1128 0.1128 0.2255  6 Sn 3.14-3.31
2 Er 0.8872 0.8872 0.7745  6 Sn 3.14-3.31
3 Er 0.0000 0.5000 0.0000  4 Sn 3.30
4 Sc 0.3257 0.1273 0.6515  4 Sn 2.87-3.01
5 Sc 0.6743 0.4759 0.3485  4 Sn 2.87-3.01
6 Sc 0.6743 0.8727 0.3485  4 Sn 2.87-3.01
7 Sc 0.3257 0.5241 0.6515  4 Sn 2.87-3.01
8 Sn 0.2380 0.7380 0.4760  6 Sc 2.90-3.01, 2 Er 3.14
9 Sn 0.7620 0.2620 0.5240  6 Sc 2.90-3.01, 2 Er 3.14
10 Sn 0.5000 0.7897 0.0000  2 Sc 2.87
11 Sn 0.5000 0.2103 0.0000  2 Sc 2.87

Summary:
DOS(E_F): 1.1400 states/eV/atom
Uncorrected energy: -5.532 eV per atom
Space group: No. 71


Below is a relaxed structure of Er2Sc3Sn2, with properties calculated at the PBE level.

Lattice parameters (Å, degrees): 4.2752 6.1165 8.0573 109.66 90.00 110.46
Closest atoms and distances in Å follow each position.
Sites, in units of the cell vectors:
1 Er 0.8674 0.7348 0.2157  4 Sn 3.14-3.44, 4 Sc 3.43-3.47
2 Er 0.1326 0.2652 0.7843  4 Sn 3.14-3.44, 4 Sc 3.43-3.47
3 Sc 0.5000 0.0000 0.0000  4 Sn 2.95
4 Sc 0.6201 0.2402 0.4393  3 Sn 3.00-3.02, 2 Sc 3.24-3.30
5 Sc 0.3799 0.7598 0.5607  3 Sn 3.00-3.02, 2 Sc 3.24-3.30
6 Sn 0.8347 0.6693 0.7923  5 Sc 2.95-3.02, 3 Er 3.14-3.30
7 Sn 0.1653 0.3307 0.2077  5 Sc 2.95-3.02, 3 Er 3.14-3.30

Summary:
DOS(E_F): 1.1403 states/eV/atom
Uncorrected energy: -5.619 eV per atom
Space group: No. 12


Below is a relaxed structure of ErSc4Sn2, with properties calculated at the PBE level.

Lattice parameters (Å, degrees): 4.9707 4.9707 8.6036 106.79 106.79 90.00
Closest atoms and distances in Å follow each position.
Sites, in units of the cell vectors:
1 Er 0.0000 0.0000 0.0000  4 Sc 2.49
2 Sc 0.8146 0.8146 0.6292  1 Er 2.91, 1 Sn 2.91
3 Sc 0.1854 0.1854 0.3708  1 Er 2.91, 1 Sn 2.91
4 Sc 0.0000 0.5000 0.0000  2 Er 2.49
5 Sc 0.5000 0.0000 0.0000  2 Er 2.49
6 Sn 0.6291 0.6291 0.2582  5 Sc 2.91-3.21
7 Sn 0.3709 0.3709 0.7418  5 Sc 2.91-3.21

Summary:
DOS(E_F): 1.5158 states/eV/atom
Uncorrected energy: -4.978 eV per atom
Space group: No. 139


Below is a relaxed structure of Er4ScSn, with properties calculated at the PBE level.

Lattice parameters (Å, degrees): 5.0949 5.0967 7.5072 89.99 89.99 90.00
Closest atoms and distances in Å follow each position.
Sites, in units of the cell vectors:
1 Er 0.5012 0.9972 0.2511  2 Sc 3.15, 2 Sn 3.18
2 Er 0.5014 0.9975 0.7451  2 Sc 3.15, 2 Sn 3.18
3 Er 0.0015 0.4974 0.7450  2 Sc 3.15, 2 Sn 3.18
4 Er 0.0012 0.4972 0.2513  2 Sc 3.15, 2 Sn 3.18
5 Sc 0.0013 0.9972 0.4982  8 Er 3.15
6 Sn 0.5013 0.4973 0.9982  8 Er 3.18

Summary:
DOS(E_F): 1.2573 states/eV/atom
Uncorrected energy: -4.573 eV per atom
Space group: No. 123


Below is a relaxed structure of Er2ScSn, with properties calculated at the PBE level.

Lattice parameters (Å, degrees): 3.3798 3.3798 11.5926 81.62 81.62 60.00
Closest atoms and distances in Å follow each position.
Sites, in units of the cell vectors:
1 Sc 0.0000 0.0000 0.0000  2 Er 3.16, 6 Sc 3.38
2 Sn 0.5000 0.5000 0.5000  6 Er 3.22, 6 Sn 3.38
3 Er 0.0921 0.0921 0.7236  1 Sc 3.16, 3 Sn 3.22, 6 Er 3.38
4 Er 0.9079 0.9079 0.2764  1 Sc 3.16, 3 Sn 3.22, 6 Er 3.38

Summary:
DOS(E_F): 1.4431 states/eV/atom
Uncorrected energy: -4.809 eV per atom
Space group: No. 166


Below is a relaxed structure of Er2Sc8Sn, with properties calculated at the PBE level.

Lattice parameters (Å, degrees): 5.6464 10.0018 10.0018 34.92 62.06 62.06
Closest atoms and distances in Å follow each position.
Sites, in units of the cell vectors:
1 Er 0.9213 0.2850 0.2850  2 Er 3.23, 6 Sc 3.24-3.41
2 Er 0.0787 0.7150 0.7150  2 Er 3.23, 6 Sc 3.24-3.41
3 Sc 0.3165 0.0889 0.5988  5 Sc 2.94-3.25, 1 Sn 3.00
4 Sc 0.3165 0.5988 0.0889  5 Sc 2.94-3.25, 1 Sn 3.00
5 Sc 0.6835 0.9111 0.4012  5 Sc 2.94-3.25, 1 Sn 3.00
6 Sc 0.2212 0.5193 0.5193  2 Sc 2.86-2.93
7 Sc 0.6835 0.4012 0.9111  5 Sc 2.94-3.25, 1 Sn 3.00
8 Sc 0.3127 0.0917 0.0917  2 Sn 3.04-3.38, 3 Sc 3.07-3.25, 1 Er 3.24
9 Sc 0.6873 0.9083 0.9083  2 Sn 3.04-3.38, 3 Sc 3.07-3.25, 1 Er 3.24
10 Sc 0.7788 0.4807 0.4807  2 Sc 2.86-2.93
11 Sn 0.0000 0.0000 0.0000  10 Sc 3.00-3.34

Summary:
DOS(E_F): 1.7111 states/eV/atom
Uncorrected energy: -5.807 eV per atom
Space group: No. 12


Below is a relaxed structure of Er3Sc5Sn2, with properties calculated at the PBE level.

Lattice parameters (Å, degrees): 6.0531 10.0017 10.0017 95.52 72.39 72.39
Closest atoms and distances in Å follow each position.
Sites, in units of the cell vectors:
1 Er 0.2500 0.0000 0.0000  2 Er 3.03, 2 Sc 3.10, 4 Sn 3.23
2 Er 0.7500 0.0000 0.0000  2 Er 3.03, 2 Sc 3.10, 4 Sn 3.23
3 Er 0.3824 0.3425 0.8928  4 Sc 3.22-3.48, 4 Sn 3.24-3.39
4 Er 0.6176 0.6575 0.1072  4 Sc 3.22-3.48, 4 Sn 3.24-3.39
5 Er 0.8824 0.8928 0.3425  4 Sc 3.22-3.48, 4 Sn 3.24-3.39
6 Er 0.1176 0.1072 0.6575  4 Sc 3.22-3.48, 4 Sn 3.24-3.39
7 Sc 0.2500 0.5000 0.5000  8 Sc 2.91-3.10
8 Sc 0.7500 0.5000 0.5000  8 Sc 2.91-3.10
9 Sc 0.5079 0.7421 0.7421  5 Sc 2.91-3.23, 2 Sn 2.99, 1 Er 3.10
10 Sc 0.9921 0.2579 0.2579  5 Sc 2.91-3.23, 2 Sn 2.99, 1 Er 3.10
11 Sc 0.4921 0.2579 0.2579  5 Sc 2.91-3.23, 2 Sn 2.99, 1 Er 3.10
12 Sc 0.0079 0.7421 0.7421  5 Sc 2.91-3.23, 2 Sn 2.99, 1 Er 3.10
13 Sc 0.1093 0.5505 0.2309  1 Sn 2.85, 2 Sc 3.10
14 Sc 0.8907 0.4495 0.7691  1 Sn 2.85, 2 Sc 3.10
15 Sc 0.6093 0.2309 0.5505  1 Sn 2.85, 2 Sc 3.10
16 Sc 0.3907 0.7691 0.4495  1 Sn 2.85, 2 Sc 3.10
17 Sn 0.1490 0.7006 0.0014  3 Sc 2.85-2.99
18 Sn 0.8510 0.2994 0.9986  3 Sc 2.85-2.99
19 Sn 0.6490 0.0014 0.7006  3 Sc 2.85-2.99
20 Sn 0.3510 0.9986 0.2994  3 Sc 2.85-2.99

Summary:
DOS(E_F): 1.2321 states/eV/atom
Uncorrected energy: -5.417 eV per atom
Space group: No. 72


Below is a relaxed structure of Er8ScSn2, with properties calculated at the PBE level.

Lattice parameters (Å, degrees): 5.6218 8.5759 8.5759 119.41 102.67 102.67
Closest atoms and distances in Å follow each position.
Sites, in units of the cell vectors:
1 Er 0.8834 0.9045 0.6771  2 Sn 3.11-3.27, 4 Er 3.27-3.47
2 Er 0.8834 0.6771 0.9045  2 Sn 3.11-3.27, 4 Er 3.27-3.47
3 Er 0.3005 0.6025 0.6025  4 Er 3.06-3.41, 1 Sc 3.12, 2 Sn 3.27
4 Er 0.5000 0.7858 0.2142  2 Sn 3.11, 1 Sc 3.17, 2 Er 3.47
5 Er 0.5000 0.2142 0.7858  2 Sn 3.11, 1 Sc 3.17, 2 Er 3.47
6 Er 0.6995 0.3975 0.3975  4 Er 3.06-3.41, 1 Sc 3.12, 2 Sn 3.27
7 Er 0.1166 0.3229 0.0955  2 Sn 3.11-3.27, 4 Er 3.27-3.47
8 Er 0.1166 0.0955 0.3229  2 Sn 3.11-3.27, 4 Er 3.27-3.47
9 Sc 0.5000 0.0000 0.0000  4 Er 3.12-3.17
10 Sn 0.0000 0.3047 0.6953  8 Er 3.11-3.27
11 Sn 0.0000 0.6953 0.3047  8 Er 3.11-3.27

Summary:
DOS(E_F): 1.4364 states/eV/atom
Uncorrected energy: -4.766 eV per atom
Space group: No. 12


Below is a relaxed structure of ErSc8Sn6, with properties calculated at the PBE level.

Lattice parameters (Å, degrees): 8.5747 8.5747 7.9003 57.13 57.13 60.00
Closest atoms and distances in Å follow each position.
Sites, in units of the cell vectors:
1 Er 0.0000 0.0000 0.0000  6 Sn 3.17, 6 Sc 3.45
2 Sc 0.5627 0.2260 0.3170  5 Sn 2.91-3.22
3 Sc 0.7740 0.1058 0.6830  5 Sn 2.91-3.22
4 Sc 0.1058 0.4373 0.6830  5 Sn 2.91-3.22
5 Sc 0.6668 0.6668 0.9995  6 Sn 3.11, 6 Sc 3.47
6 Sc 0.3332 0.3332 0.0005  6 Sn 3.11, 6 Sc 3.47
7 Sc 0.8942 0.5627 0.3170  5 Sn 2.91-3.22
8 Sc 0.2260 0.8942 0.3170  5 Sn 2.91-3.22
9 Sc 0.4373 0.7740 0.6830  5 Sn 2.91-3.22
10 Sn 0.4074 0.0689 0.7937  7 Sc 2.91-3.22, 1 Er 3.17
11 Sn 0.9311 0.2700 0.2063  7 Sc 2.91-3.22, 1 Er 3.17
12 Sn 0.2700 0.5926 0.2063  7 Sc 2.91-3.22, 1 Er 3.17
13 Sn 0.7300 0.4074 0.7937  7 Sc 2.91-3.22, 1 Er 3.17
14 Sn 0.0689 0.7300 0.7937  7 Sc 2.91-3.22, 1 Er 3.17
15 Sn 0.5926 0.9311 0.2063  7 Sc 2.91-3.22, 1 Er 3.17

Summary:
DOS(E_F): 0.8506 states/eV/atom
Uncorrected energy: -5.746 eV per atom
Space group: No. 148


Below is a relaxed structure of Er2ScSn3, with properties calculated at the PBE level.

Lattice parameters (Å, degrees): 3.5141 6.1131 8.3662 111.43 102.12 90.00
Closest atoms and distances in Å follow each position.
Sites, in units of the cell vectors:
1 Er 0.6688 0.1688 0.3376  6 Sn 3.06-3.13
2 Er 0.3312 0.8312 0.6624  6 Sn 3.06-3.13
3 Sc 0.0000 0.5000 0.0000  6 Sn 3.01-3.06
4 Sn 0.3391 0.3391 0.6782  2 Sc 3.01, 4 Er 3.06-3.13
5 Sn 0.0000 0.0000 0.0000  2 Sc 3.06, 4 Er 3.11
6 Sn 0.6609 0.6609 0.3218  2 Sc 3.01, 4 Er 3.06-3.13

Summary:
DOS(E_F): 0.5369 states/eV/atom
Uncorrected energy: -5.083 eV per atom
Space group: No. 71


Number 1: formation enthalpy at 0 K -529 meV per atom. Number 2: formation enthalpy at 0 K -458 meV per atom. Number 3: formation enthalpy at 0 K 435 meV per atom. Number 4: formation enthalpy at 0 K 191 meV per atom. Number 5: formation enthalpy at 0 K 56 meV per atom. Number 6: formation enthalpy at 0 K -8 meV per atom. Number 7: formation enthalpy at 0 K -82 meV per atom. Number 8: formation enthalpy at 0 K -144 meV per atom. Number 9: formation enthalpy at 0 K -464 meV per atom. Number 10: formation enthalpy at 0 K -506 meV per atom.